Record 1
The following is a DFT calculation (PBE-GGA) of a geometry-optimized Ca2Mg2Tl structure.

Lattice parameters (Å, degrees): 8.8779 8.8779 4.0945 90.00 90.00 90.00
Element x y z (fractional)
Mg: 0.1373 0.6373 0.5000
Mg: 0.8627 0.3627 0.5000
Tl: 0.5000 0.5000 0.0000
Tl: 0.0000 0.0000 0.0000
Ca: 0.3428 0.8428 0.0000
Ca: 0.1572 0.3428 0.0000
Mg: 0.3627 0.1373 0.5000
Mg: 0.6373 0.8627 0.5000
Ca: 0.6572 0.1572 0.0000
Ca: 0.8428 0.6572 0.0000

Computed properties:
The calculation puts the final energy at -1.88 eV per atom. The crystal system is tetragonal. For the energy relative to the elements, the calculation gives 3 kJ/mol of atoms. Its total magnetization is 0.00 μB per formula unit. The value obtained for the offset from the most stable computed form is 144 meV/atom.

=====

Record 2
The following is a DFT calculation (PBE-GGA) of a geometry-optimized VCoSi2 structure.

Lattice parameters (Å, degrees): 2.6001 2.6001 6.9646 90.00 90.00 90.00
Element x y z (fractional)
Si: 0.0000 0.0000 0.7745
Co: 0.5000 0.5000 0.0000
V: 0.5000 0.5000 0.5000
Si: 0.0000 0.0000 0.2255

Computed properties:
The calculation puts the final energy at -7.14 eV per atom. The crystal system is tetragonal. The value obtained for the uncorrected formation energy is -1.48 eV per formula unit. Its total magnetization is 0.00 μB per formula unit.

=====

Record 3
The following is a DFT calculation (PBE-GGA) of a geometry-optimized Cs3GaAu4 structure.

Lattice parameters (Å, degrees): 7.1701 7.1701 7.1701 108.26 99.07 121.95
Element x y z (fractional)
Au: 0.1952 0.7308 0.9260
Cs: 0.9209 0.0000 0.9209
Au: 0.5377 0.2055 0.3323
Au: 0.1952 0.2692 0.4644
Cs: 0.5838 0.2663 0.8502
Au: 0.1268 0.7945 0.3323
Ga: 0.0075 0.5000 0.5075
Cs: 0.5838 0.7337 0.3175

Computed properties:
The calculation puts the final energy at -2.61 eV per atom. The crystal system is orthorhombic. For the energy relative to the elements, the calculation gives -27 kJ/mol of atoms. Its total magnetization is 0.00 μB per formula unit.

=====

Record 4
The following is a DFT calculation (PBE-GGA) of a geometry-optimized ZrTcGeRh structure.

Lattice parameters (Å, degrees): 4.4793 4.4793 4.4793 60.00 60.00 60.00
Element x y z (fractional)
Zr: 0.7500 0.7500 0.7500
Rh: 0.5000 0.5000 0.5000
Ge: 0.2500 0.2500 0.2500
Tc: 0.0000 0.0000 0.0000

Computed properties:
The calculation puts the final energy at -8.28 eV per atom. The crystal system is cubic. For the energy relative to the elements, the calculation gives -54 kJ/mol of atoms. Its total magnetization is 0.00 μB per formula unit.

=====

Record 5
The following is a DFT calculation (PBE-GGA) of a geometry-optimized ErBeAl3Cu structure.

Lattice parameters (Å, degrees): 5.6193 6.2072 6.6461 117.84 90.00 90.00
Element x y z (fractional)
Er: 0.7500 0.2804 0.5608
Be: 0.7500 0.0594 0.1188
Al: 0.2500 0.1420 0.2841
Al: 0.7500 0.8580 0.7159
Cu: 0.2500 0.3529 0.7058
Cu: 0.7500 0.6471 0.2942
Al: 0.5000 0.2897 0.0000
Al: 0.0000 0.7103 0.0000
Er: 0.2500 0.7196 0.4392
Be: 0.2500 0.9406 0.8812
Al: 0.0000 0.2897 0.0000
Al: 0.5000 0.7103 0.0000

Computed properties:
The calculation puts the final energy at -3.95 eV per atom. The crystal system is orthorhombic. For the energy relative to the elements, the calculation gives -2 kJ/mol of atoms. Its total magnetization is 0.00 μB per formula unit.

=====

Record 6
The following is a DFT calculation (PBE-GGA) of a geometry-optimized Nd2Ho2In5 structure.

Lattice parameters (Å, degrees): 7.2353 10.0844 9.4726 122.16 112.45 90.00
Element x y z (fractional)
Nd: 0.6538 0.1903 0.2535
Nd: 0.9003 0.4368 0.7465
Ho: 0.5000 0.4982 0.0000
Nd: 0.3462 0.9368 0.7465
Ho: 0.7452 0.8802 0.5000
In: 0.3604 0.9921 0.3034
In: 0.6395 0.6887 0.6966
Nd: 0.0997 0.6903 0.2535
In: 0.7318 0.8190 0.0869
In: 0.8551 0.3190 0.0869
In: 0.9379 0.5988 0.5000
In: 0.5571 0.1887 0.6966
Ho: 0.0000 0.9982 0.0000
In: 0.2682 0.7321 0.9131
In: 0.1449 0.2321 0.9131
In: 0.0621 0.0988 0.5000
Ho: 0.2548 0.3802 0.5000
In: 0.4429 0.4921 0.3034

Computed properties:
The calculation puts the final energy at -3.88 eV per atom. The crystal system is orthorhombic. For the energy relative to the elements, the calculation gives -27 kJ/mol of atoms. Its total magnetization is 0.00 μB per formula unit.

=====

Record 7
The following is a DFT calculation (PBE-GGA) of a geometry-optimized TaTl2Cd structure.

Lattice parameters (Å, degrees): 3.0774 3.0774 10.1126 90.00 90.00 90.00
Element x y z (fractional)
Tl: 0.0000 0.0000 0.9691
Cd: 0.0000 0.0000 0.5328
Tl: 0.5000 0.5000 0.2594
Ta: 0.5000 0.5000 0.7387

Computed properties:
The calculation puts the final energy at -3.98 eV per atom. The crystal system is tetragonal. For the energy relative to the elements, the calculation gives 38 kJ/mol of atoms. Its total magnetization is 0.00 μB per formula unit. The value obtained for the offset from the most stable computed form is 0 meV/atom.

=====

Record 8
The following is a DFT calculation (PBE-GGA) of a geometry-optimized HfTl2B structure.

Lattice parameters (Å, degrees): 8.4749 8.4749 6.4654 49.05 49.05 90.00
Element x y z (fractional)
B: 0.5000 0.5000 0.0000
Hf: 0.7500 0.2500 0.5000
Tl: 0.8750 0.7678 0.7500
Tl: 0.5178 0.1250 0.2500
Tl: 0.2322 0.6250 0.2500
Hf: 0.0000 0.0000 0.0000
Tl: 0.3750 0.4822 0.7500
B: 0.2500 0.7500 0.5000

Computed properties:
The calculation puts the final energy at -4.61 eV per atom. The crystal system is tetragonal. For the energy relative to the elements, the calculation gives 70 kJ/mol of atoms. Its total magnetization is 0.00 μB per formula unit. The value obtained for the offset from the most stable computed form is 0 meV/atom.